The following is a DFT calculation (PBE) of an optimized crystal structure of MgZrGaPd.

Lattice parameters (Å, degrees): 4.664 4.664 4.664 60.00 60.00 60.00
Atoms (fractional coordinates):
Zr 0.000 0.000 0.000
Mg 0.500 0.500 0.500
Pd 0.250 0.250 0.250
Ga 0.750 0.750 0.750

Properties
For the volume, the calculation gives 71.8 Å³/f.u. For the formation energy, the calculation gives -0.57 eV per atom.